(1)
Crystalline Y4Rh at its relaxed geometry, computed with PBE.

Structure (POSCAR):
```
Y4Rh
1.0
0.000 5.416 5.416
5.416 0.000 5.416
5.416 5.416 0.000
Y Rh
8 2
Cartesian
9.333 9.333 9.333
6.916 9.333 6.916
6.916 6.916 9.333
6.625 4.208 6.625
4.208 4.208 4.208
9.333 6.916 6.916
6.625 6.625 4.208
4.208 6.625 6.625
2.708 2.708 2.708
0.000 0.000 0.000
```

DOS at the Fermi energy	14.275	states/eV per cell
energy relative to the elements	94	meV/atom


(2)
Crystalline YRh3 at its relaxed geometry, computed with PBE.

Structure (POSCAR):
```
YRh3
1.0
-2.028 1.847 -1.332
-3.385 -2.086 2.262
0.482 3.134 3.613
Rh Y
3 1
Cartesian
0.464 3.012 3.472
-0.779 2.452 1.096
-2.291 2.578 3.575
-1.520 0.077 2.422
```

DOS at the Fermi energy	4.936	states/eV per cell
energy relative to the elements	-316	meV/atom


(3)
Crystalline YRh3 at its relaxed geometry, computed with PBE.

Structure (POSCAR):
```
YRh3
1.0
-3.374 -3.961 1.334
-0.159 -4.141 -3.418
2.910 2.939 3.427
Rh Y
3 1
Cartesian
2.885 2.882 3.403
0.571 -2.451 -1.331
1.170 -1.051 2.391
-1.042 -2.375 1.107
```

DOS at the Fermi energy	4.077	states/eV per cell
energy relative to the elements	-328	meV/atom


(4)
Crystalline YRh5 at its relaxed geometry, computed with PBE.

Structure (POSCAR):
```
YRh5
1.0
-5.266 -0.386 -0.207
-4.266 -2.934 -1.059
-1.650 -2.641 5.959
Y Rh
1 5
Cartesian
-4.259 -3.435 5.271
-1.732 -2.662 5.927
-6.252 -2.760 0.912
-3.718 -2.014 1.655
-9.995 -4.727 2.397
-7.379 -3.932 3.092
```

DOS at the Fermi energy	8.665	states/eV per cell
energy relative to the elements	-144	meV/atom


(5)
Crystalline Y3Rh5 at its relaxed geometry, computed with PBE.

Structure (POSCAR):
```
Y3Rh5
1.0
8.082 0.000 0.000
-4.041 6.999 0.000
0.000 0.000 5.439
Y Rh
6 10
Cartesian
6.531 2.686 4.079
-2.490 4.313 1.360
-0.939 6.999 4.079
1.551 2.686 1.360
4.980 0.000 1.360
2.490 4.313 4.079
-0.843 1.460 1.360
-3.198 5.539 4.079
1.687 0.000 1.360
0.843 1.460 4.079
0.000 4.666 0.000
0.000 4.666 2.719
4.041 2.333 0.000
4.041 2.333 2.719
2.355 6.999 4.079
3.198 5.539 1.360
```

DOS at the Fermi energy	19.327	states/eV per cell
energy relative to the elements	-387	meV/atom


(6)
Crystalline YRh3 at its relaxed geometry, computed with PBE.

Structure (POSCAR):
```
YRh3
1.0
-1.490 2.592 3.485
-0.201 -4.710 3.417
4.866 3.184 -0.287
Y Rh
2 6
Cartesian
1.116 -1.431 3.054
2.060 2.496 3.562
-0.521 -1.524 5.448
-0.415 0.963 3.644
2.048 0.157 5.297
3.697 2.589 1.167
3.591 0.103 2.971
1.127 0.909 1.319
```

DOS at the Fermi energy	5.554	states/eV per cell
energy relative to the elements	-452	meV/atom


(7)
Crystalline YRh at its relaxed geometry, computed with PBE.

Structure (POSCAR):
```
YRh
1.0
3.890 0.000 0.000
-1.945 3.369 0.000
0.000 0.000 3.507
Rh Y
1 1
Cartesian
0.000 0.000 0.000
0.000 2.246 1.753
```

DOS at the Fermi energy	0.846	states/eV per cell
energy relative to the elements	-514	meV/atom


(8)
Crystalline YRh2 at its relaxed geometry, computed with PBE.

Structure (POSCAR):
```
YRh2
1.0
4.051 0.000 0.000
0.000 4.051 0.000
-2.025 -2.025 13.064
Y Rh
4 8
Cartesian
0.000 0.000 1.957
2.025 2.025 11.107
0.000 2.025 8.489
0.000 2.025 4.575
0.000 0.000 6.542
2.025 2.025 6.522
2.025 0.000 0.010
2.025 0.000 13.054
0.000 0.000 10.940
2.025 2.025 2.124
2.025 0.000 4.408
2.025 0.000 8.656
```

DOS at the Fermi energy	14.288	states/eV per cell
energy relative to the elements	-544	meV/atom


Copy entry 3 word for word.
Crystalline YRh3 at its relaxed geometry, computed with PBE.

Structure (POSCAR):
```
YRh3
1.0
-3.374 -3.961 1.334
-0.159 -4.141 -3.418
2.910 2.939 3.427
Rh Y
3 1
Cartesian
2.885 2.882 3.403
0.571 -2.451 -1.331
1.170 -1.051 2.391
-1.042 -2.375 1.107
```

DOS at the Fermi energy	4.077	states/eV per cell
energy relative to the elements	-328	meV/atom